No. 1
Here is NaTeAu at its PBEsol-relaxed geometry from the Alexandria database. Energies are from meta-GGA SCAN.

Lattice parameters (Å, degrees): 4.625 4.625 8.369 90.00 90.00 120.00
Atoms (fractional coordinates):
Na 0.000 0.000 0.000
Na 0.000 0.000 0.500
Te 0.333 0.667 0.250
Te 0.667 0.333 0.750
Au 0.333 0.667 0.750
Au 0.667 0.333 0.250

## Properties
- E_form (uncorrected) (meV/atom) = -660.7
- magnetization (μB per formula unit) = 0.000
- volume (Å³/atom) = 25.84
- density of states at the Fermi level (states/eV/f.u.) = 0.146
- energy (eV/atom) = -37.5351

=====

No. 2
Here is NaTi2Au2 at its PBEsol-relaxed geometry from the Alexandria database. Energies are from meta-GGA SCAN.

Lattice parameters (Å, degrees): 5.774 5.774 5.774 131.49 131.49 71.04
Atoms (fractional coordinates):
Na 0.000 0.000 0.000
Ti 0.362 0.362 0.000
Ti 0.638 0.638 0.000
Au 0.250 0.750 0.500
Au 0.750 0.250 0.500

## Properties
- ΔH_f (0 K) (kJ/mol of formula units) = -7
- magnetization (μB per formula unit) = 2.485
- volume (Å³/atom) = 21.15
- density of states at the Fermi level (states/eV/f.u.) = 3.855
- energy (eV/atom) = -34.9316

=====

No. 3
Here is NaTiAu3 at its PBEsol-relaxed geometry from the Alexandria database. Energies are from meta-GGA SCAN.

Lattice parameters (Å, degrees): 4.712 4.712 4.712 90.00 90.00 90.00
Atoms (fractional coordinates):
Na 0.000 0.000 0.000
Ti 0.500 0.500 0.500
Au 0.000 0.000 0.500
Au 0.000 0.500 0.000
Au 0.500 0.000 0.000

## Properties
- ΔH_f (0 K) (kJ/mol of formula units) = 364
- magnetization (μB per formula unit) = 2.092
- volume (Å³/atom) = 20.92
- density of states at the Fermi level (states/eV/f.u.) = 2.825
- energy (eV/atom) = -44.7888